i.
# Y2MgCr2

An optimized crystal structure of Y2MgCr2 (PBE, the Alexandria database).

a b c (Å): 6.5483 6.5483 6.5483
angles (deg): 138.18 138.18 60.62
Closest atoms and distances in Å follow each position.
Fractional positions:
Y: 0.2500 0.7500 0.5000  4 Cr 3.04, 4 Y 3.31
Y: 0.7500 0.2500 0.5000  4 Cr 3.04, 4 Y 3.31
Mg: 0.0000 0.0000 0.0000  8 Cr 3.42, 8 Y 3.67
Cr: 0.4216 0.4216 0.0000  1 Cr 1.77
Cr: 0.5784 0.5784 0.0000  1 Cr 1.77

## Properties
M_tot ... 0.00 Bohr magnetons per cell
Space-group type ... No. 139


ii.
# Y2MgCr2

An optimized crystal structure of Y2MgCr2 (PBE, the Alexandria database).

a b c (Å): 7.2882 7.2882 4.2239
angles (deg): 90.00 90.00 90.00
Closest atoms and distances in Å follow each position.
Fractional positions:
Y: 0.1875 0.3125 0.0000  6 Cr 3.01-3.11
Y: 0.3125 0.8125 0.0000  6 Cr 3.01-3.11
Y: 0.6875 0.1875 0.0000  6 Cr 3.01-3.11
Y: 0.8125 0.6875 0.0000  6 Cr 3.01-3.11
Mg: 0.0000 0.0000 0.5000  4 Cr 3.05, 8 Y 3.39
Mg: 0.5000 0.5000 0.5000  4 Cr 3.05, 8 Y 3.39
Cr: 0.0913 0.5913 0.5000  1 Cr 1.88
Cr: 0.4087 0.0913 0.5000  1 Cr 1.88
Cr: 0.5913 0.9087 0.5000  1 Cr 1.88
Cr: 0.9087 0.4087 0.5000  1 Cr 1.88

## Properties
M_tot ... 0.00 Bohr magnetons per cell
Space-group type ... No. 127


iii.
# Y2MgCr2

An optimized crystal structure of Y2MgCr2 (PBE, the Alexandria database).

a b c (Å): 10.4362 10.4362 10.4362
angles (deg): 161.62 161.62 26.10
Closest atoms and distances in Å follow each position.
Fractional positions:
Y: 0.1276 0.1276 0.0000  4 Cr 2.99, 4 Y 3.33
Y: 0.8724 0.8724 0.0000  4 Cr 2.99, 4 Y 3.33
Mg: 0.5000 0.5000 0.0000  4 Mg 3.33, 8 Y 3.51
Cr: 0.2500 0.7500 0.5000  4 Cr 2.36
Cr: 0.7500 0.2500 0.5000  4 Cr 2.36

## Properties
M_tot ... 0.00 Bohr magnetons per cell
Space-group type ... No. 139


Least stable: i